Entry a
Computed, not measured: a relaxed structure of LaSm4Hg at the PBE level of DFT.

a = 6.505 Å, b = 9.194 Å, c = 8.385 Å
α = 113.50°, β = 100.18°, γ = 112.67°
Fractional positions:
La: 0.343 0.593 0.185
La: 0.657 0.407 0.815
Sm: 0.035 0.162 0.766
Sm: 0.762 0.715 0.625
Sm: 0.231 0.603 0.766
Sm: 0.363 0.911 0.625
Sm: 0.637 0.089 0.375
Sm: 0.769 0.397 0.234
Sm: 0.238 0.285 0.375
Sm: 0.965 0.838 0.234
Hg: 0.251 0.001 0.002
Hg: 0.749 0.999 0.998

* crystal system: monoclinic
* total magnetization: 0.00 μB per formula unit
* symmetry: C2/c (15)

Entry b
Computed, not measured: a relaxed structure of LaSm4Hg at the PBE level of DFT.

a = 3.689 Å, b = 3.689 Å, c = 14.222 Å
α = 90.00°, β = 90.00°, γ = 90.00°
Fractional positions:
La: 0.000 0.000 0.000
Sm: 0.500 0.500 0.183
Sm: 0.000 0.000 0.640
Sm: 0.000 0.000 0.360
Sm: 0.500 0.500 0.817
Hg: 0.500 0.500 0.500

* crystal system: tetragonal
* total magnetization: 0.00 μB per formula unit
* symmetry: P4/mmm (123)

In terms of stability, entry b leads; the second structure lies 83 meV per atom higher.